# ReSe2IBr, optimized geometry, DFT GGA-PBE
data_ReSe2IBr
_cell_length_a 4.891
_cell_length_b 4.891
_cell_length_c 5.230
_cell_angle_alpha 90.00
_cell_angle_beta 90.00
_cell_angle_gamma 90.00
_space_group_name_H-M_alt 'P 4/m m m'
_space_group_IT_number 123
_space_group_name_Hall '-P 4 2'
loop_
_atom_site_label
_atom_site_type_symbol
_atom_site_fract_x
_atom_site_fract_y
_atom_site_fract_z
Re1 Re 0.000 0.000 0.000
Se1 Se 0.000 0.500 0.000
I1 I 0.500 0.500 0.500
Br1 Br 0.000 0.000 0.500
# **Magnetization**: 0.0 μB per formula unit
# **Energy relative to the lowest polymorph listed for this composition**: 0 meV/atom
# **VASP energy**: -20.72 eV per formula unit
# **ΔE_f (raw)**: 0.385 eV per atom

=====

# Ca4TmPd5, optimized geometry, DFT GGA-PBE
data_Ca4TmPd5
_cell_length_a 3.515
_cell_length_b 3.515
_cell_length_c 17.633
_cell_angle_alpha 90.00
_cell_angle_beta 90.00
_cell_angle_gamma 90.00
_space_group_name_H-M_alt 'P 4/m m m'
_space_group_IT_number 123
_space_group_name_Hall '-P 4 2'
loop_
_atom_site_label
_atom_site_type_symbol
_atom_site_fract_x
_atom_site_fract_y
_atom_site_fract_z
Ca1 Ca 0.000 0.000 0.100
Ca2 Ca 0.000 0.000 0.299
Tm1 Tm 0.000 0.000 0.500
Pd1 Pd 0.500 0.500 0.000
Pd2 Pd 0.500 0.500 0.200
Pd3 Pd 0.500 0.500 0.411
# **Magnetization**: 0.0 μB per formula unit
# **VASP energy**: -45.89 eV per formula unit
# **E_form**: -745 meV/atom

=====

# SrVAg, optimized geometry, DFT GGA-PBE
data_SrVAg
_cell_length_a 7.719
_cell_length_b 3.961
_cell_length_c 10.193
_cell_angle_alpha 90.00
_cell_angle_beta 90.00
_cell_angle_gamma 90.00
_space_group_name_H-M_alt 'P n m a'
_space_group_IT_number 62
loop_
_space_group_symop_operation_xyz
'x,y,z'
'-x,-y,-z'
'-x+1/2,-y,z+1/2'
'x+1/2,y,-z+1/2'
'x+1/2,-y+1/2,-z+1/2'
'-x+1/2,y+1/2,z+1/2'
'-x,y+1/2,-z'
'x,-y+1/2,z'
loop_
_atom_site_label
_atom_site_type_symbol
_atom_site_fract_x
_atom_site_fract_y
_atom_site_fract_z
Sr1 Sr 0.103 0.250 0.172
V1 V 0.050 0.250 0.522
Ag1 Ag 0.230 0.250 0.875
# **Magnetization**: 0.0 μB per formula unit
# **Energy relative to the lowest polymorph listed for this composition**: 0 meV/atom
# **VASP energy**: -12.47 eV per formula unit
# **E_form**: 393 meV/atom

=====

# K2TlSI, optimized geometry, DFT GGA-PBE
data_K2TlSI
_cell_length_a 6.038
_cell_length_b 6.038
_cell_length_c 5.955
_cell_angle_alpha 90.00
_cell_angle_beta 90.00
_cell_angle_gamma 90.00
_space_group_name_H-M_alt 'P 4/m m m'
_space_group_IT_number 123
_space_group_name_Hall '-P 4 2'
loop_
_atom_site_label
_atom_site_type_symbol
_atom_site_fract_x
_atom_site_fract_y
_atom_site_fract_z
K1 K 0.000 0.500 0.000
Tl1 Tl 0.000 0.000 0.500
S1 S 0.000 0.000 0.000
I1 I 0.500 0.500 0.500
# **Magnetization**: 0.0 μB per formula unit
# **VASP energy**: -14.66 eV per formula unit
# **ΔE_f (raw)**: -0.884 eV per atom